No. 1
# NpMnSi2Os

A relaxed NpMnSi2Os crystal (PBE, Alexandria).

Cell: 3.9582 3.9582 5.8879 Å, 109.64 109.64 90.00°
Site moments in Bohr magnetons follow the coordinates.
Fractional coordinates of all 5 atoms:
Np  0.0000  0.0000  0.0000  3.61
Mn  0.7500  0.2500  0.5000  2.57
Si  0.6167  0.6167  0.2334  -0.05
Si  0.3833  0.3833  0.7666  -0.05
Os  0.2500  0.7500  0.5000  0.05

- spin magnetization (μB per formula unit) = 6.50
- symmetry = I-4m2 (119)
- ρ (g/cm³) = 11.0
- energy relative to the elements, uncorrected (eV/atom) = -0.39

=====

No. 2
# NpMnTcOs

A relaxed NpMnTcOs crystal (PBE, Alexandria).

Cell: 4.5479 4.5479 4.5479 Å, 60.00 60.00 60.00°
Site moments in Bohr magnetons follow the coordinates.
Fractional coordinates of all 4 atoms:
Np  0.7500  0.7500  0.7500  3.09
Mn  0.2500  0.2500  0.2500  3.53
Os  0.0000  0.0000  0.0000  -0.06
Tc  0.5000  0.5000  0.5000  -0.23

- calculated formation energy (eV/atom) = 0.208
- spin magnetization (μB per formula unit) = 6.59
- symmetry = F-43m (216)
- ρ (g/cm³) = 14.5